VASP calculation (PBE) on an optimized crystal structure of MgPtN2O.

POSCAR file:
```
MgPtN2O
1.0
3.9274 0.0000 0.0000
0.0000 3.9274 0.0000
0.0000 0.0000 3.7584
Mg Pt N O
1 1 2 1
Direct
0.0000 0.0000 0.0000 Mg
0.5000 0.5000 0.5000 Pt
0.0000 0.5000 0.0000 N
0.5000 0.0000 0.0000 N
0.0000 0.0000 0.5000 O
```

Values from the calculation:
ΔE_f (raw), eV per atom: 1.41
Mass density, g cm⁻³: 7.5
Final energy, eV/atom: -4.437